Entry 1:
# Tl2Ir2Se

A relaxed structure of Tl2Ir2Se (PBEsol, Alexandria via LeMat-Bulk).

Computed properties:
The total magnetic moment comes out at 0.00 μB/f.u. The calculated volume is 21.859 Å³ per atom. The distance to the lowest polymorph of the same formula comes out at 0.082 eV per atom. For the total energy, the calculation gives -25.9 eV for the cell shown. For the uncorrected formation energy, the calculation gives 0.571 eV/atom.

Cell and atoms, written as POSCAR:
```
Tl2Ir2Se
1.0
-2.7723 2.7723 3.5550
2.7723 -2.7723 3.5550
2.7723 2.7723 -3.5550
Tl Ir Se
2 2 1
Direct
0.2500 0.7500 0.5000
0.7500 0.2500 0.5000
0.1686 0.1686 0.0000
0.8314 0.8314 0.0000
0.5000 0.5000 0.0000
```

---

Entry 2:
# Ca2BeAuO

A relaxed structure of Ca2BeAuO (PBEsol, Alexandria via LeMat-Bulk).

Computed properties:
The total magnetic moment comes out at 0.00 μB/f.u. The calculated volume is 19.274 Å³ per atom. For the total energy, the calculation gives -20.7 eV for the cell shown. For the uncorrected formation energy, the calculation gives -0.658 eV/atom.

Cell and atoms, written as POSCAR:
```
Ca2BeAuO
1.0
5.5869 0.0000 0.0000
0.0000 5.5869 0.0000
0.0000 0.0000 3.0874
Ca Be Au O
2 1 1 1
Direct
0.0000 0.5000 0.0000
0.5000 0.0000 0.0000
0.0000 0.0000 0.0000
0.5000 0.5000 0.5000
0.0000 0.0000 0.5000
```

---

Entry 3:
# NaH3O2

A relaxed structure of NaH3O2 (PBEsol, Alexandria via LeMat-Bulk).

Computed properties:
The total magnetic moment comes out at 0.00 μB/f.u. The calculated volume is 8.625 Å³ per atom. For the total energy, the calculation gives -233.9 eV for the cell shown.

Cell and atoms, written as POSCAR:
```
NaH3O2
1.0
6.0085 0.0000 0.0000
0.0000 6.1648 0.0000
0.0000 0.0000 11.1761
Na H O
8 24 16
Direct
0.1456 0.1875 0.0648
0.1456 0.3125 0.5648
0.3544 0.6875 0.0648
0.3544 0.8125 0.5648
0.6456 0.1875 0.4352
0.6456 0.3125 0.9352
0.8544 0.6875 0.4352
0.8544 0.8125 0.9352
0.0526 0.6258 0.7121
0.0526 0.8742 0.2121
0.0631 0.1028 0.3651
0.0631 0.3972 0.8651
0.2274 0.0831 0.8631
0.2274 0.4169 0.3631
0.2726 0.5831 0.8631
0.2726 0.9169 0.3631
0.4369 0.6028 0.3651
0.4369 0.8972 0.8651
0.4474 0.1258 0.7121
0.4474 0.3742 0.2121
0.5526 0.6258 0.7879
0.5526 0.8742 0.2879
0.5631 0.1028 0.1349
0.5631 0.3972 0.6349
0.7274 0.0831 0.6369
0.7274 0.4169 0.1369
0.7726 0.5831 0.6369
0.7726 0.9169 0.1369
0.9369 0.6028 0.1349
0.9369 0.8972 0.6349
0.9474 0.1258 0.7879
0.9474 0.3742 0.2879
0.0184 0.6546 0.6259
0.0184 0.8454 0.1259
0.1014 0.5606 0.8634
0.1014 0.9394 0.3634
0.3986 0.0606 0.8634
0.3986 0.4394 0.3634
0.4816 0.1546 0.6259
0.4816 0.3454 0.1259
0.5184 0.6546 0.8741
0.5184 0.8454 0.3741
0.6014 0.5606 0.6366
0.6014 0.9394 0.1366
0.8986 0.0606 0.6366
0.8986 0.4394 0.1366
0.9816 0.1546 0.8741
0.9816 0.3454 0.3741
```

---

Entry 4:
# MgCoSe

A relaxed structure of MgCoSe (PBEsol, Alexandria via LeMat-Bulk).

Computed properties:
The total magnetic moment comes out at 0.00 μB/f.u. The calculated volume is 16.023 Å³ per atom. The distance to the lowest polymorph of the same formula comes out at 0.000 eV per atom. For the total energy, the calculation gives -14.3 eV for the cell shown. For the uncorrected formation energy, the calculation gives -0.333 eV/atom.

Cell and atoms, written as POSCAR:
```
MgCoSe
1.0
3.8529 0.0000 0.0000
-1.9265 3.3367 0.0000
0.0000 0.0000 3.7390
Mg Co Se
1 1 1
Direct
0.0000 0.0000 0.0000
0.6667 0.3333 0.5000
0.3333 0.6667 0.5000
```

---

Entry 5:
# TaMo5

A relaxed structure of TaMo5 (PBEsol, Alexandria via LeMat-Bulk).

Computed properties:
The total magnetic moment comes out at 0.00 μB/f.u. The calculated volume is 15.632 Å³ per atom. The value obtained for the energy relative to the elements is -42 meV/atom. The distance to the lowest polymorph of the same formula comes out at 0.043 eV per atom. For the total energy, the calculation gives -71.6 eV for the cell shown.

Cell and atoms, written as POSCAR:
```
TaMo5
1.0
1.5750 -2.2391 0.0000
1.5750 2.2391 0.0000
0.0000 0.0000 13.2980
Ta Mo
1 5
Direct
0.0000 0.0000 0.0000
0.0000 0.0000 0.3352
0.0000 0.0000 0.6648
0.5000 0.5000 0.1716
0.5000 0.5000 0.5000
0.5000 0.5000 0.8284
```

---

Entry 6:
# Cu2BrCl

A relaxed structure of Cu2BrCl (PBEsol, Alexandria via LeMat-Bulk).

Computed properties:
The total magnetic moment comes out at 0.00 μB/f.u. The calculated volume is 19.964 Å³ per atom. The distance to the lowest polymorph of the same formula comes out at 0.000 eV per atom. For the total energy, the calculation gives -27.3 eV for the cell shown. For the uncorrected formation energy, the calculation gives -0.280 eV/atom.

Cell and atoms, written as POSCAR:
```
Cu2BrCl
1.0
-2.7089 2.7089 5.4412
2.7089 -2.7089 5.4412
2.7089 2.7089 -5.4412
Cu Br Cl
4 2 2
Direct
0.1032 0.6250 0.9782
0.3750 0.3532 0.4782
0.6468 0.1250 0.0218
0.8750 0.8968 0.5218
0.2500 0.7500 0.5000
0.5000 0.5000 0.0000
0.0000 0.0000 0.0000
0.7500 0.2500 0.5000
```

---

Entry 7:
# MgPt3O

A relaxed structure of MgPt3O (PBEsol, Alexandria via LeMat-Bulk).

Computed properties:
The total magnetic moment comes out at 0.00 μB/f.u. The calculated volume is 15.069 Å³ per atom. For the total energy, the calculation gives -27.1 eV for the cell shown. For the uncorrected formation energy, the calculation gives 0.152 eV/atom.

Cell and atoms, written as POSCAR:
```
MgPt3O
1.0
4.2236 0.0000 0.0000
0.0000 4.2236 0.0000
0.0000 0.0000 4.2236
Mg Pt O
1 3 1
Direct
0.0000 0.0000 0.0000
0.0000 0.5000 0.5000
0.5000 0.0000 0.5000
0.5000 0.5000 0.0000
0.5000 0.5000 0.5000
```

---

Entry 8:
# NaCd2In2

A relaxed structure of NaCd2In2 (PBEsol, Alexandria via LeMat-Bulk).

Computed properties:
The total magnetic moment comes out at 0.00 μB/f.u. The calculated volume is 24.943 Å³ per atom. The value obtained for the energy relative to the elements is -17 meV/atom. The distance to the lowest polymorph of the same formula comes out at 0.012 eV per atom. For the total energy, the calculation gives -19.7 eV for the cell shown.

Cell and atoms, written as POSCAR:
```
NaCd2In2
1.0
8.5002 0.0000 0.0000
0.0000 8.5002 0.0000
0.0000 0.0000 3.4521
Na Cd In
2 4 4
Direct
0.0000 0.0000 0.0000
0.5000 0.5000 0.0000
0.1643 0.3357 0.5000
0.3357 0.8357 0.5000
0.6643 0.1643 0.5000
0.8357 0.6643 0.5000
0.1335 0.6335 0.0000
0.3665 0.1335 0.0000
0.6335 0.8665 0.0000
0.8665 0.3665 0.0000
```

---

Entry 9:
# Cs4PbO4

A relaxed structure of Cs4PbO4 (PBEsol, Alexandria via LeMat-Bulk).

Computed properties:
The total magnetic moment comes out at 0.00 μB/f.u. The calculated volume is 26.217 Å³ per atom. For the total energy, the calculation gives -159.7 eV for the cell shown. For the uncorrected formation energy, the calculation gives -1.240 eV/atom.

Cell and atoms, written as POSCAR:
```
Cs4PbO4
1.0
11.7443 0.0000 0.0000
0.0000 7.3486 0.0000
-4.1810 0.0000 10.9357
Cs Pb O
16 4 16
Direct
0.0600 0.0823 0.2008
0.0600 0.4177 0.7008
0.1598 0.6093 0.0837
0.1598 0.8907 0.5837
0.3699 0.6661 0.8918
0.3699 0.8339 0.3918
0.4249 0.1843 0.7933
0.4249 0.3157 0.2933
0.5751 0.6843 0.7067
0.5751 0.8157 0.2067
0.6301 0.1661 0.6082
0.6301 0.3339 0.1082
0.8402 0.1093 0.4163
0.8402 0.3907 0.9163
0.9400 0.5823 0.2992
0.9400 0.9177 0.7992
0.2405 0.1267 0.9924
0.2405 0.3733 0.4924
0.7595 0.6267 0.5076
0.7595 0.8733 0.0076
0.0702 0.2376 0.9716
0.0702 0.2624 0.4716
0.2147 0.5126 0.3293
0.2147 0.9874 0.8293
0.3099 0.5361 0.6497
0.3099 0.9639 0.1497
0.3648 0.1598 0.5161
0.3648 0.3402 0.0161
0.6352 0.6598 0.9839
0.6352 0.8402 0.4839
0.6901 0.0361 0.8503
0.6901 0.4639 0.3503
0.7853 0.0126 0.1707
0.7853 0.4874 0.6707
0.9298 0.7376 0.5284
0.9298 0.7624 0.0284
```

---

Entry 10:
# CuSi2Sb

A relaxed structure of CuSi2Sb (PBEsol, Alexandria via LeMat-Bulk).

Computed properties:
The total magnetic moment comes out at 0.00 μB/f.u. The calculated volume is 17.404 Å³ per atom. For the total energy, the calculation gives -19.3 eV for the cell shown. For the uncorrected formation energy, the calculation gives 0.283 eV/atom.

Cell and atoms, written as POSCAR:
```
CuSi2Sb
1.0
3.1766 0.0000 0.0000
0.0000 3.4291 0.0000
-1.5723 0.0000 6.3910
Cu Si Sb
1 2 1
Direct
0.0000 0.0000 0.0000
0.3914 0.5000 0.7832
0.8141 0.0000 0.6263
0.6211 0.5000 0.2396
```

---

Entry 11:
# NaMnAlNi2

A relaxed structure of NaMnAlNi2 (PBEsol, Alexandria via LeMat-Bulk).

Computed properties:
The total magnetic moment comes out at 4.63 μB/f.u. The calculated volume is 17.843 Å³ per atom. The value obtained for the energy relative to the elements is 1024 meV/atom. For the total energy, the calculation gives -22.4 eV for the cell shown.

Cell and atoms, written as POSCAR:
```
NaMnAlNi2
1.0
4.3244 0.0000 0.0000
0.0000 4.3244 0.0000
0.0000 0.0000 4.7709
Na Mn Al Ni
1 1 1 2
Direct
0.0000 0.0000 0.0000
0.5000 0.5000 0.0000
0.0000 0.0000 0.5000
0.0000 0.5000 0.5000
0.5000 0.0000 0.5000
```

---

Entry 12:
# FeRu2Se

A relaxed structure of FeRu2Se (PBEsol, Alexandria via LeMat-Bulk).

Computed properties:
The total magnetic moment comes out at 1.33 μB/f.u. The calculated volume is 13.096 Å³ per atom. For the total energy, the calculation gives -31.5 eV for the cell shown. For the uncorrected formation energy, the calculation gives 0.413 eV/atom.

Cell and atoms, written as POSCAR:
```
FeRu2Se
1.0
-1.8682 1.8682 3.7521
1.8682 -1.8682 3.7521
1.8682 1.8682 -3.7521
Fe Ru Se
1 2 1
Direct
0.0000 0.0000 0.0000
0.5000 0.5000 0.0000
0.7500 0.2500 0.5000
0.2500 0.7500 0.5000
```

---

Entry 13:
# CsSrMo3

A relaxed structure of CsSrMo3 (PBEsol, Alexandria via LeMat-Bulk).

Computed properties:
The total magnetic moment comes out at 1.82 μB/f.u. The calculated volume is 24.594 Å³ per atom. The value obtained for the energy relative to the elements is 2740 meV/atom. For the total energy, the calculation gives -24.4 eV for the cell shown.

Cell and atoms, written as POSCAR:
```
CsSrMo3
1.0
4.9728 0.0000 0.0000
0.0000 4.9728 0.0000
0.0000 0.0000 4.9728
Cs Sr Mo
1 1 3
Direct
0.0000 0.0000 0.0000
0.5000 0.5000 0.5000
0.0000 0.0000 0.5000
0.0000 0.5000 0.0000
0.5000 0.0000 0.0000
```

---

Entry 14:
# UI2O8

A relaxed structure of UI2O8 (PBEsol, Alexandria via LeMat-Bulk).

Computed properties:
The total magnetic moment comes out at 0.00 μB/f.u. The calculated volume is 15.245 Å³ per atom. For the total energy, the calculation gives -144.5 eV for the cell shown. For the uncorrected formation energy, the calculation gives -1.324 eV/atom.

Cell and atoms, written as POSCAR:
```
UI2O8
1.0
4.1317 0.0000 0.0000
0.0000 15.9354 0.0000
-2.5931 0.0000 5.0940
U I O
2 4 16
Direct
0.0000 0.0000 0.0000
0.0000 0.5000 0.5000
0.3730 0.1635 0.6863
0.3730 0.3365 0.1863
0.6270 0.6635 0.8137
0.6270 0.8365 0.3137
0.1647 0.6293 0.7576
0.1647 0.8707 0.2576
0.1815 0.0641 0.2983
0.1815 0.4359 0.7983
0.4167 0.0627 0.8763
0.4167 0.4373 0.3763
0.4585 0.7335 0.5305
0.4585 0.7665 0.0305
0.5415 0.2335 0.9695
0.5415 0.2665 0.4695
0.5833 0.5627 0.6237
0.5833 0.9373 0.1237
0.8185 0.5641 0.2017
0.8185 0.9359 0.7017
0.8353 0.1293 0.7424
0.8353 0.3707 0.2424
```

---

Entry 15:
# RbSnTeN2

A relaxed structure of RbSnTeN2 (PBEsol, Alexandria via LeMat-Bulk).

Computed properties:
The total magnetic moment comes out at 5.00 μB/f.u. The calculated volume is 33.212 Å³ per atom. For the total energy, the calculation gives -15.9 eV for the cell shown. For the uncorrected formation energy, the calculation gives 1.983 eV/atom.

Cell and atoms, written as POSCAR:
```
RbSnTeN2
1.0
4.9276 0.0000 0.0000
0.0000 4.9276 0.0000
0.0000 0.0000 6.8391
Rb Sn Te N
1 1 1 2
Direct
0.0000 0.0000 0.0000
0.5000 0.5000 0.5000
0.0000 0.0000 0.5000
0.0000 0.5000 0.0000
0.5000 0.0000 0.0000
```

---

Entry 16:
# TbGe2Ir

A relaxed structure of TbGe2Ir (PBEsol, Alexandria via LeMat-Bulk).

Computed properties:
The total magnetic moment comes out at 0.00 μB/f.u. The calculated volume is 18.615 Å³ per atom. The value obtained for the energy relative to the elements is -855 meV/atom. For the total energy, the calculation gives -112.5 eV for the cell shown.

Cell and atoms, written as POSCAR:
```
TbGe2Ir
1.0
-2.1237 4.4057 7.9581
2.1237 -4.4057 7.9581
2.1237 4.4057 -7.9581
Tb Ge Ir
4 8 4
Direct
0.2057 0.2057 0.0000
0.2384 0.0000 0.2384
0.7616 0.0000 0.7616
0.7943 0.7943 0.0000
0.0769 0.5769 0.5000
0.1466 0.7996 0.3470
0.4217 0.4217 0.0000
0.4526 0.7996 0.6530
0.5474 0.2004 0.3470
0.5783 0.5783 0.0000
0.8534 0.2004 0.6530
0.9231 0.4231 0.5000
0.1051 0.3546 0.7505
0.3959 0.6454 0.7505
0.6041 0.3546 0.2495
0.8949 0.6454 0.2495
```

---

Entry 17:
# LiSb2Te

A relaxed structure of LiSb2Te (PBEsol, Alexandria via LeMat-Bulk).

Computed properties:
The total magnetic moment comes out at 0.00 μB/f.u. The calculated volume is 24.527 Å³ per atom. For the total energy, the calculation gives -15.1 eV for the cell shown. For the uncorrected formation energy, the calculation gives -0.114 eV/atom.

Cell and atoms, written as POSCAR:
```
LiSb2Te
1.0
1.9805 -2.5179 0.0000
1.9805 2.5179 0.0000
0.0000 0.0000 9.8370
Li Sb Te
1 2 1
Direct
0.0000 0.0000 0.0000
0.0000 0.0000 0.4784
0.5000 0.5000 0.2277
0.5000 0.5000 0.7995
```

---

Entry 18:
# Cs2CaS

A relaxed structure of Cs2CaS (PBEsol, Alexandria via LeMat-Bulk).

Computed properties:
The total magnetic moment comes out at 0.00 μB/f.u. The calculated volume is 42.733 Å³ per atom. For the total energy, the calculation gives -9.0 eV for the cell shown. For the uncorrected formation energy, the calculation gives -0.153 eV/atom.

Cell and atoms, written as POSCAR:
```
Cs2CaS
1.0
0.0000 4.4049 4.4049
4.4049 0.0000 4.4049
4.4049 4.4049 0.0000
Cs Ca S
2 1 1
Direct
0.2500 0.2500 0.2500
0.7500 0.7500 0.7500
0.0000 0.0000 0.0000
0.5000 0.5000 0.5000
```

---

Entry 19:
# SiTc3

A relaxed structure of SiTc3 (PBEsol, Alexandria via LeMat-Bulk).

Computed properties:
The total magnetic moment comes out at 0.00 μB/f.u. The calculated volume is 13.542 Å³ per atom. The distance to the lowest polymorph of the same formula comes out at 0.325 eV per atom. For the total energy, the calculation gives -39.5 eV for the cell shown. For the uncorrected formation energy, the calculation gives 0.022 eV/atom.

Cell and atoms, written as POSCAR:
```
SiTc3
1.0
3.7837 0.0000 0.0000
0.0000 3.7837 0.0000
0.0000 0.0000 3.7837
Si Tc
1 3
Direct
0.0000 0.0000 0.0000
0.0000 0.5000 0.5000
0.5000 0.0000 0.5000
0.5000 0.5000 0.0000
```

---

Entry 20:
# Li2Zr2O5

A relaxed structure of Li2Zr2O5 (PBEsol, Alexandria via LeMat-Bulk).

Computed properties:
The total magnetic moment comes out at 0.00 μB/f.u. The calculated volume is 11.012 Å³ per atom. For the total energy, the calculation gives -298.8 eV for the cell shown. For the uncorrected formation energy, the calculation gives -2.926 eV/atom.

Cell and atoms, written as POSCAR:
```
Li2Zr2O5
1.0
10.3416 0.0000 0.0000
0.0000 3.7708 0.0000
-7.9335 0.0000 10.1656
Li Zr O
8 8 20
Direct
0.0062 0.2432 0.4235
0.0062 0.2568 0.9235
0.0813 0.7274 0.3294
0.0813 0.7726 0.8294
0.9187 0.2274 0.1706
0.9187 0.2726 0.6706
0.9938 0.7432 0.0765
0.9938 0.7568 0.5765
0.3199 0.7190 0.1243
0.3199 0.7810 0.6243
0.3270 0.1928 0.3538
0.3270 0.3072 0.8538
0.6730 0.6928 0.1462
0.6730 0.8072 0.6462
0.6801 0.2190 0.3757
0.6801 0.2810 0.8757
0.0909 0.7461 0.4835
0.0909 0.7539 0.9835
0.1333 0.2304 0.3438
0.1333 0.2696 0.8438
0.2598 0.7100 0.2598
0.2598 0.7900 0.7598
0.3833 0.2160 0.2061
0.3833 0.2840 0.7061
0.4125 0.7128 0.0181
0.4125 0.7872 0.5181
0.5875 0.2128 0.4819
0.5875 0.2872 0.9819
0.6167 0.7160 0.2939
0.6167 0.7840 0.7939
0.7402 0.2100 0.2402
0.7402 0.2900 0.7402
0.8667 0.7304 0.1562
0.8667 0.7696 0.6562
0.9091 0.2461 0.0165
0.9091 0.2539 0.5165
```